Here is a geometry-optimized Gd2ScAu structure from Alexandria via LeMat-Bulk. Energies are from PBE.

a = 4.064 Å, b = 4.992 Å, c = 4.992 Å
α = 90.00°, β = 90.00°, γ = 90.00°
Element x y z (fractional)
Sc 0.500 0.500 0.500
Gd 0.000 0.000 0.500
Gd 0.000 0.500 0.000
Au 0.500 0.000 0.000

Crystal system: tetragonal
Excess energy over the best structure of this formula in the dataset: 77 meV/atom
Formation enthalpy at 0 K: -0.29 eV/atom

***

Here is a geometry-optimized GdScAu structure from Alexandria via LeMat-Bulk. Energies are from PBE.

a = 3.506 Å, b = 3.506 Å, c = 6.396 Å
α = 105.91°, β = 105.91°, γ = 90.00°
Element x y z (fractional)
Sc 0.310 0.310 0.621
Au 0.934 0.934 0.867
Gd 0.606 0.606 0.212

Crystal system: tetragonal
Excess energy over the best structure of this formula in the dataset: 0 meV/atom
Formation enthalpy at 0 K: -0.53 eV/atom

***

Here is a geometry-optimized GdScAu structure from Alexandria via LeMat-Bulk. Energies are from PBE.

a = 3.826 Å, b = 4.744 Å, c = 4.744 Å
α = 120.00°, β = 90.00°, γ = 90.00°
Element x y z (fractional)
Gd 0.686 0.667 0.333
Sc 0.196 0.333 0.667
Au 0.118 0.000 0.000

Crystal system: trigonal
Excess energy over the best structure of this formula in the dataset: 97 meV/atom
Formation enthalpy at 0 K: -0.43 eV/atom

***

Here is a geometry-optimized GdSc2Au structure from Alexandria via LeMat-Bulk. Energies are from PBE.

a = 3.396 Å, b = 3.396 Å, c = 10.617 Å
α = 80.80°, β = 80.80°, γ = 60.00°
Element x y z (fractional)
Sc 0.102 0.102 0.694
Sc 0.898 0.898 0.306
Au 0.500 0.500 0.500
Gd 0.000 0.000 0.000

Crystal system: trigonal
Excess energy over the best structure of this formula in the dataset: 306 meV/atom
Formation enthalpy at 0 K: -0.05 eV/atom

***

Here is a geometry-optimized Gd2ScAu structure from Alexandria via LeMat-Bulk. Energies are from PBE.

a = 3.409 Å, b = 3.409 Å, c = 11.292 Å
α = 81.32°, β = 81.32°, γ = 60.00°
Element x y z (fractional)
Au 0.000 0.000 0.000
Sc 0.500 0.500 0.500
Gd 0.914 0.914 0.257
Gd 0.086 0.086 0.743

Crystal system: trigonal
Excess energy over the best structure of this formula in the dataset: 521 meV/atom
Formation enthalpy at 0 K: 0.15 eV/atom

***

Here is a geometry-optimized GdSc2Au structure from Alexandria via LeMat-Bulk. Energies are from PBE.

a = 3.459 Å, b = 3.459 Å, c = 8.029 Å
α = 90.00°, β = 90.00°, γ = 90.00°
Element x y z (fractional)
Sc 0.000 0.000 0.201
Sc 0.000 0.000 0.799
Au 0.500 0.500 0.000
Gd 0.500 0.500 0.500

Crystal system: tetragonal
Excess energy over the best structure of this formula in the dataset: 0 meV/atom
Formation enthalpy at 0 K: -0.36 eV/atom

***

Here is a geometry-optimized GdScSiAu structure from Alexandria via LeMat-Bulk. Energies are from PBE.

a = 4.936 Å, b = 4.936 Å, c = 4.936 Å
α = 60.00°, β = 60.00°, γ = 60.00°
Element x y z (fractional)
Sc 0.250 0.250 0.250
Au 0.500 0.500 0.500
Si 0.000 0.000 0.000
Gd 0.750 0.750 0.750

Crystal system: cubic
Raw formation energy: -0.64 eV per atom

***

Here is a geometry-optimized SmGdScAu structure from Alexandria via LeMat-Bulk. Energies are from PBE.

a = 5.264 Å, b = 5.264 Å, c = 5.264 Å
α = 60.00°, β = 60.00°, γ = 60.00°
Element x y z (fractional)
Au 0.750 0.750 0.750
Sc 0.250 0.250 0.250
Sm 0.500 0.500 0.500
Gd 0.000 0.000 0.000

Crystal system: cubic
Formation enthalpy at 0 K: -0.19 eV/atom

***

no.,uncorrected energy (eV per atom)
1,-9.7358
2,-8.4231
3,-8.3263
4,-7.5593
5,-9.2909
6,-7.8649
7,-7.9176
8,-7.2907